Computed, not measured: CoNi2PdN after structural relaxation at the PBE level of DFT.

Lattice parameters (Å, degrees): 3.8235 3.8235 3.7620 90.00 90.00 90.00
Space group P4/mmm (No. 123)
Unique sites:
Co (0.0000, 0.0000, 0.0000)
Ni (0.0000, 0.5000, 0.5000)
Pd (0.5000, 0.5000, 0.0000)
N (0.0000, 0.0000, 0.5000)

Summary:
- uncorrected energy (eV/cell) = -31.69
- crystal system = tetragonal


Computed, not measured: Co2NiPdN after structural relaxation at the PBE level of DFT.

Lattice parameters (Å, degrees): 3.7798 3.7798 3.8429 90.00 90.00 90.00
Space group P4/mmm (No. 123)
Unique sites:
Co (0.0000, 0.5000, 0.0000)
Ni (0.0000, 0.0000, 0.5000)
Pd (0.5000, 0.5000, 0.5000)
N (0.0000, 0.0000, 0.0000)

Summary:
- uncorrected energy (eV/cell) = -33.21
- crystal system = tetragonal


Computed, not measured: Sc4CoNiN2 after structural relaxation at the PBE level of DFT.

Lattice parameters (Å, degrees): 3.1621 3.1621 12.9152 90.00 90.00 120.00
Space group P-6m2 (No. 187)
Unique sites:
Sc (0.0000, 0.0000, 0.1490)
Sc (0.6667, 0.3333, 0.3472)
Co (0.6667, 0.3333, 0.0000)
Ni (0.0000, 0.0000, 0.5000)
N (0.3333, 0.6667, 0.2505)

Summary:
- offset from the most stable computed form (meV/atom) = 0
- crystal system = hexagonal


Computed, not measured: Ta4CoNiN2 after structural relaxation at the PBE level of DFT.

Lattice parameters (Å, degrees): 3.0643 3.0643 12.9416 90.00 90.00 120.00
Space group P-6m2 (No. 187)
Unique sites:
Ta (0.0000, 0.0000, 0.1521)
Ta (0.6667, 0.3333, 0.3459)
Co (0.6667, 0.3333, 0.0000)
Ni (0.0000, 0.0000, 0.5000)
N (0.3333, 0.6667, 0.2490)

Summary:
- uncorrected energy (eV/cell) = -80.59
- crystal system = hexagonal


Computed, not measured: CoNiW4N2 after structural relaxation at the PBE level of DFT.

Lattice parameters (Å, degrees): 2.7958 2.7958 14.3861 90.00 90.00 120.00
Space group P-6m2 (No. 187)
Unique sites:
Co (0.0000, 0.0000, 0.0000)
Ni (0.6667, 0.3333, 0.5000)
W (0.0000, 0.0000, 0.3508)
W (0.6667, 0.3333, 0.1471)
N (0.3333, 0.6667, 0.2490)

Summary:
- offset from the most stable computed form (meV/atom) = 0
- crystal system = hexagonal


Computed, not measured: Y4CoNiN2 after structural relaxation at the PBE level of DFT.

Lattice parameters (Å, degrees): 3.5022 3.5022 13.5443 90.00 90.00 120.00
Space group P-6m2 (No. 187)
Unique sites:
Y (0.0000, 0.0000, 0.1453)
Y (0.6667, 0.3333, 0.3525)
Co (0.6667, 0.3333, 0.0000)
Ni (0.0000, 0.0000, 0.5000)
N (0.3333, 0.6667, 0.2527)

Summary:
- uncorrected energy (eV/cell) = -60.87
- crystal system = hexagonal


Which formula does entry 4 have?
Ta4CoNiN2


What did the third record say?
Computed, not measured: Sc4CoNiN2 after structural relaxation at the PBE level of DFT.

Lattice parameters (Å, degrees): 3.1621 3.1621 12.9152 90.00 90.00 120.00
Space group P-6m2 (No. 187)
Unique sites:
Sc (0.0000, 0.0000, 0.1490)
Sc (0.6667, 0.3333, 0.3472)
Co (0.6667, 0.3333, 0.0000)
Ni (0.0000, 0.0000, 0.5000)
N (0.3333, 0.6667, 0.2505)

Summary:
- offset from the most stable computed form (meV/atom) = 0
- crystal system = hexagonal